A geometry-optimized Hg6AuBr2 structure, computed with PBE.

```
Hg6AuBr2
1.0
6.1422 0.0000 3.5462
2.0474 5.7909 3.5462
0.0000 0.0000 7.0924
Hg Br Au
6 2 1
Direct
0.2761 0.7239 0.7239
0.2761 0.7239 0.2761
0.7239 0.2761 0.2761
0.7239 0.2761 0.7239
0.7239 0.7239 0.2761
0.2761 0.2761 0.7239
0.7500 0.7500 0.7500
0.2500 0.2500 0.2500
0.0000 0.0000 0.0000
```

Calculated values
volume: 252.3 Å³/f.u.
theoretical density: 10.27 g/cm³
formation energy (no corrections): -66.6 kJ/mol of formula units